First-principles (PBE-GGA) data for a geometry-optimized Sc2BeNi3 structure, as listed in Alexandria via LeMat-Bulk.

The density of states at the Fermi level comes out at 0.423 states/eV/atom. The formation energy comes out at -504 meV per atom.

a = 4.9730 Å, b = 4.9730 Å, c = 7.4932 Å
α = 90.00°, β = 90.00°, γ = 120.00°
Last column: nearest neighbours and their distance in Å.
Fractional coordinates of all 12 atoms:
Sc (0.6667, 0.3333, 0.4427)  9 Ni 2.72-2.88, 4 Sc 2.89-3.00, 3 Be 2.90
Sc (0.3333, 0.6667, 0.5573)  9 Ni 2.72-2.88, 4 Sc 2.89-3.00, 3 Be 2.90
Sc (0.6667, 0.3333, 0.0573)  9 Ni 2.72-2.88, 4 Sc 2.89-3.00, 3 Be 2.90
Ni (0.8351, 0.1649, 0.7500)  2 Be 2.35, 4 Ni 2.46-2.51
Ni (0.1649, 0.8351, 0.2500)  2 Be 2.35, 4 Ni 2.46-2.51
Ni (0.6702, 0.8351, 0.2500)  2 Be 2.35, 4 Ni 2.46-2.51
Sc (0.3333, 0.6667, 0.9427)  9 Ni 2.72-2.88, 4 Sc 2.89-3.00, 3 Be 2.90
Ni (0.8351, 0.6702, 0.7500)  2 Be 2.35, 4 Ni 2.46-2.51
Be (0.0000, 0.0000, 0.0000)  6 Ni 2.35
Ni (0.1649, 0.3298, 0.2500)  2 Be 2.35, 4 Ni 2.46-2.51
Be (0.0000, 0.0000, 0.5000)  6 Ni 2.35
Ni (0.3298, 0.1649, 0.7500)  2 Be 2.35, 4 Ni 2.46-2.51